Here is Pr4SmCu4 after structural relaxation from Alexandria via LeMat-Bulk. Energies are from PBE.

Energy relative to the elements in eV per atom: 0.001
Total moment in μB per formula unit: 0.00
N(E_F) in states/eV/atom: 1.08
Uncorrected energy in eV per atom: -4.468

Geometry as CIF:
```
data_Pr4SmCu4
_chemical_formula_sum 'Pr8 Sm2 Cu8'
_space_group_name_H-M_alt 'P 42/n'
_space_group_IT_number 86
_cell_length_a 8.607
_cell_length_b 8.607
_cell_length_c 6.476
_cell_angle_alpha 90.00
_cell_angle_beta 90.00
_cell_angle_gamma 90.00
loop_
_space_group_symop_operation_xyz
'x,y,z'
'-x,-y,-z'
'-y,x+1/2,z+1/2'
'y,-x+1/2,-z+1/2'
'-x+1/2,-y+1/2,z'
'x+1/2,y+1/2,-z'
'y+1/2,-x,z+1/2'
'-y+1/2,x,-z+1/2'
loop_
_atom_site_label
_atom_site_type_symbol
_atom_site_fract_x
_atom_site_fract_y
_atom_site_fract_z
_atom_site_occupancy
Pr1 Pr 0.044 0.661 0.150 1
Sm1 Sm 0.250 0.250 0.250 1
Cu1 Cu 0.018 0.626 0.598 1
```